The following is a DFT calculation (PBE) of a geometry-optimized LuInCoIr structure.

Values from the calculation:
Its spin magnetization is 7.44 Bohr magnetons per cell. The total energy comes out at -5.814 eV per atom. The energy above the lowest structure with this stoichiometry is 0.384 eV/atom.

Cell lengths 6.5623, 6.5623, 6.5623 Å; angles 90.00, 90.00, 90.00 degrees
Last column: nearest neighbours and their distance in Å.
Space group F-43m (No. 216)
Unique sites:
Lu  0.0000  0.0000  0.0000 (multiplicity 4)  4 In 2.84, 4 Ir 2.84
In  0.2500  0.2500  0.2500 (multiplicity 4)  4 Co 2.84, 4 Lu 2.84
Co  0.0000  0.0000  0.5000 (multiplicity 4)  4 In 2.84, 4 Ir 2.84
Ir  0.2500  0.2500  0.7500 (multiplicity 4)  4 Lu 2.84, 4 Co 2.84